1.
Material: LiCuSiAs2
Method: DFT, GGA-PBE
State: relaxed

Unit cell a=4.796 b=4.796 c=4.597 alpha=90.00 beta=90.00 gamma=90.00
Space group P4/mmm (No. 123)
One atom of each set of equivalent atoms:
Li (0.000, 0.000, 0.000) [1 per cell]
Cu (0.500, 0.500, 0.000) [1 per cell]
Si (0.000, 0.000, 0.500) [1 per cell]
As (0.000, 0.500, 0.500) [2 per cell]

E_form (uncorrected) ... 0.651 eV per atom
Total magnetization ... 0.00 μB per cell
N(E_F) ... 3.47 states/eV per cell


2.
Material: Li2SmCu2As2
Method: DFT, GGA-PBE
State: relaxed

Unit cell a=4.1389 b=4.1389 c=23.4163 alpha=90.00 beta=90.00 gamma=120.00
Space group R-3m (No. 166, hexagonal axes)
One atom of each set of equivalent atoms:
Li (0.0000, 0.0000, 0.1426) [6 per cell]
Sm (0.0000, 0.0000, 0.0000) [3 per cell]
Cu (0.0000, 0.0000, 0.4316) [6 per cell]
As (0.0000, 0.0000, 0.2536) [6 per cell]

Formation enthalpy at 0 K ... -474 kJ/mol of formula units
Total magnetization ... 0.00 μB per cell
N(E_F) ... 4.28 states/eV per cell


3.
Material: LiCuSnAs2
Method: DFT, GGA-PBE
State: relaxed

Unit cell a=4.809 b=4.809 c=4.547 alpha=90.00 beta=90.00 gamma=90.00
Space group P4/mmm (No. 123)
One atom of each set of equivalent atoms:
Li (0.000, 0.000, 0.000) [1 per cell]
Cu (0.000, 0.000, 0.500) [1 per cell]
Sn (0.500, 0.500, 0.000) [1 per cell]
As (0.000, 0.500, 0.500) [2 per cell]

Formation enthalpy at 0 K ... 75 kJ/mol of formula units
Total magnetization ... 0.00 μB per cell
N(E_F) ... 2.82 states/eV per cell


4.
Material: Li2TbCu2As2
Method: DFT, GGA-PBE
State: relaxed

Unit cell a=4.1164 b=4.1164 c=23.0536 alpha=90.00 beta=90.00 gamma=120.00
Space group R-3m (No. 166, hexagonal axes)
One atom of each set of equivalent atoms:
Li (0.0000, 0.0000, 0.1434) [6 per cell]
Tb (0.0000, 0.0000, 0.0000) [3 per cell]
Cu (0.0000, 0.0000, 0.4338) [6 per cell]
As (0.0000, 0.0000, 0.2557) [6 per cell]

Formation enthalpy at 0 K ... -468 kJ/mol of formula units
Total magnetization ... 0.00 μB per cell
N(E_F) ... 3.66 states/eV per cell


5.
Material: Li2CuTeAs
Method: DFT, GGA-PBE
State: relaxed

Unit cell a=4.855 b=4.855 c=4.549 alpha=90.00 beta=90.00 gamma=90.00
Space group P4/mmm (No. 123)
One atom of each set of equivalent atoms:
Li (0.000, 0.500, 0.000) [2 per cell]
Cu (0.000, 0.000, 0.500) [1 per cell]
Te (0.500, 0.500, 0.500) [1 per cell]
As (0.000, 0.000, 0.000) [1 per cell]

E_form (uncorrected) ... -0.131 eV per atom
Total magnetization ... 0.00 μB per cell
N(E_F) ... 5.84 states/eV per cell


6.
Material: LiCuTe3As
Method: DFT, GGA-PBE
State: relaxed

Unit cell a=7.969 b=3.995 c=9.513 alpha=90.00 beta=96.87 gamma=90.00
Space group P2_1/m (No. 11)
One atom of each set of equivalent atoms:
Li (0.172, 0.250, 0.304) [2 per cell]
Cu (0.059, 0.250, 0.578) [2 per cell]
Te (0.081, 0.250, 0.857) [2 per cell]
Te (0.263, 0.750, 0.533) [2 per cell]
Te (0.395, 0.750, 0.158) [2 per cell]
As (0.338, 0.750, 0.865) [2 per cell]

E_form (uncorrected) ... -0.219 eV per atom
Total magnetization ... 0.00 μB per cell
N(E_F) ... 7.19 states/eV per cell


7.
Material: LiTlCuAs
Method: DFT, GGA-PBE
State: relaxed

Unit cell a=6.629 b=6.629 c=6.629 alpha=90.00 beta=90.00 gamma=90.00
Space group F-43m (No. 216)
One atom of each set of equivalent atoms:
Li (0.000, 0.000, 0.000) [4 per cell]
Tl (0.250, 0.250, 0.750) [4 per cell]
Cu (0.000, 0.000, 0.500) [4 per cell]
As (0.250, 0.250, 0.250) [4 per cell]

Formation enthalpy at 0 K ... -20 kJ/mol of formula units
Total magnetization ... 0.00 μB per cell
N(E_F) ... 3.08 states/eV per cell


8.
Material: LuCuAs2
Method: DFT, GGA-PBE
State: relaxed

Unit cell a=3.876 b=3.876 c=9.689 alpha=90.00 beta=90.00 gamma=90.00
Space group P4/nmm (No. 129, origin choice 2)
One atom of each set of equivalent atoms:
Lu (0.250, 0.250, 0.235) [2 per cell]
Cu (0.250, 0.750, 0.500) [2 per cell]
As (0.250, 0.250, 0.666) [2 per cell]
As (0.250, 0.750, 0.000) [2 per cell]

Formation enthalpy at 0 K ... -295 kJ/mol of formula units
Total magnetization ... 0.00 μB per cell
N(E_F) ... 3.01 states/eV per cell